No. 1
Computed, not measured: crystalline TaMo2W at its relaxed geometry at the PBEsol level of DFT.

a b c (Å): 3.1635 4.5091 8.9138
angles (deg): 90.00 90.00 90.00
Sites, in units of the cell vectors:
Ta: 0.0000 0.0000 0.0000
Ta: 0.5000 0.5000 0.0000
Mo: 0.0000 0.0000 0.4974
Mo: 0.0000 0.5000 0.2547
Mo: 0.5000 0.0000 0.2547
Mo: 0.5000 0.5000 0.4974
W: 0.0000 0.5000 0.7423
W: 0.5000 0.0000 0.7423

Computed properties:
N(E_F), states/eV/cell: 3.68
Final energy, eV per formula unit: -50.1
DFT formation energy, kJ/mol of formula units: -24


No. 2
Computed, not measured: crystalline TaMo2W at its relaxed geometry at the PBEsol level of DFT.

a b c (Å): 3.1654 4.4598 4.4996
angles (deg): 90.00 90.00 90.00
Sites, in units of the cell vectors:
Ta: 0.0000 0.0000 0.0000
Mo: 0.0000 0.5000 0.5000
Mo: 0.5000 0.5000 0.0000
W: 0.5000 0.0000 0.5000

Computed properties:
N(E_F), states/eV/cell: 1.76
Final energy, eV per formula unit: -50.3
DFT formation energy, kJ/mol of formula units: -37


No. 3
Computed, not measured: crystalline TaMo2W at its relaxed geometry at the PBEsol level of DFT.

a b c (Å): 6.3288 6.3288 6.3288
angles (deg): 90.00 90.00 90.00
Sites, in units of the cell vectors:
Ta: 0.0000 0.0000 0.0000
Ta: 0.0000 0.5000 0.5000
Ta: 0.5000 0.0000 0.5000
Ta: 0.5000 0.5000 0.0000
Mo: 0.2500 0.2500 0.2500
Mo: 0.2500 0.2500 0.7500
Mo: 0.2500 0.7500 0.2500
Mo: 0.2500 0.7500 0.7500
Mo: 0.7500 0.2500 0.2500
Mo: 0.7500 0.2500 0.7500
Mo: 0.7500 0.7500 0.2500
Mo: 0.7500 0.7500 0.7500
W: 0.0000 0.0000 0.5000
W: 0.0000 0.5000 0.0000
W: 0.5000 0.0000 0.0000
W: 0.5000 0.5000 0.5000

Computed properties:
N(E_F), states/eV/cell: 8.73
Final energy, eV per formula unit: -50.4
DFT formation energy, kJ/mol of formula units: -52


No. 4
Computed, not measured: crystalline TaMo2W at its relaxed geometry at the PBEsol level of DFT.

a b c (Å): 3.1644 4.4654 8.9841
angles (deg): 90.00 90.00 90.00
Sites, in units of the cell vectors:
Ta: 0.0000 0.0000 0.0000
Ta: 0.5000 0.5000 0.5000
Mo: 0.0000 0.0000 0.5014
Mo: 0.0000 0.5000 0.2477
Mo: 0.5000 0.0000 0.7477
Mo: 0.5000 0.5000 0.0014
W: 0.0000 0.5000 0.7548
W: 0.5000 0.0000 0.2548

Computed properties:
N(E_F), states/eV/cell: 3.53
Final energy, eV per formula unit: -50.4
DFT formation energy, kJ/mol of formula units: -46


No. 5
Computed, not measured: crystalline TaMo2W at its relaxed geometry at the PBEsol level of DFT.

a b c (Å): 4.4781 4.4781 3.1621
angles (deg): 90.00 90.00 90.00
Sites, in units of the cell vectors:
Ta: 0.0000 0.0000 0.0000
Mo: 0.0000 0.5000 0.5000
Mo: 0.5000 0.0000 0.5000
W: 0.5000 0.5000 0.0000

Computed properties:
N(E_F), states/eV/cell: 1.79
Final energy, eV per formula unit: -50.4
DFT formation energy, kJ/mol of formula units: -50


No. 6
Computed, not measured: crystalline TaMo2W at its relaxed geometry at the PBEsol level of DFT.

a b c (Å): 5.5004 8.9171 2.7492
angles (deg): 90.00 109.66 90.00
Sites, in units of the cell vectors:
Ta: 0.0000 0.0000 0.0000
Ta: 0.5000 0.5000 0.0000
Mo: 0.2500 0.2500 0.5000
Mo: 0.2500 0.7500 0.5000
Mo: 0.7500 0.2500 0.5000
Mo: 0.7500 0.7500 0.5000
W: 0.0000 0.5000 0.0000
W: 0.5000 0.0000 0.0000

Computed properties:
N(E_F), states/eV/cell: 3.49
Final energy, eV per formula unit: -50.2
DFT formation energy, kJ/mol of formula units: -34


No. 7
Computed, not measured: crystalline TaMo2W at its relaxed geometry at the PBEsol level of DFT.

a b c (Å): 2.7584 4.4690 5.2327
angles (deg): 90.00 100.27 90.00
Sites, in units of the cell vectors:
Ta: 0.0000 0.0000 0.0000
Mo: 0.2512 0.5000 0.7503
Mo: 0.4943 0.0000 0.5001
W: 0.7389 0.5000 0.2531

Computed properties:
N(E_F), states/eV/cell: 1.50
Final energy, eV per formula unit: -50.2
DFT formation energy, kJ/mol of formula units: -34


No. 8
Computed, not measured: crystalline TaMo2W at its relaxed geometry at the PBEsol level of DFT.

a b c (Å): 3.1633 3.1633 6.3470
angles (deg): 90.00 90.00 90.00
Sites, in units of the cell vectors:
Ta: 0.0000 0.0000 0.0000
Mo: 0.0000 0.0000 0.5024
Mo: 0.5000 0.5000 0.7462
W: 0.5000 0.5000 0.2574

Computed properties:
N(E_F), states/eV/cell: 2.32
Final energy, eV per formula unit: -50.3
DFT formation energy, kJ/mol of formula units: -40


No. 9
Computed, not measured: crystalline TaMo2W at its relaxed geometry at the PBEsol level of DFT.

a b c (Å): 3.1669 4.5120 8.9032
angles (deg): 90.00 90.00 90.00
Sites, in units of the cell vectors:
Ta: 0.0000 0.0000 0.0000
Ta: 0.5000 0.5000 0.0000
Mo: 0.0000 0.5000 0.2552
Mo: 0.0000 0.5000 0.7448
Mo: 0.5000 0.0000 0.2552
Mo: 0.5000 0.0000 0.7448
W: 0.0000 0.0000 0.5000
W: 0.5000 0.5000 0.5000

Computed properties:
N(E_F), states/eV/cell: 3.70
Final energy, eV per formula unit: -50.2
DFT formation energy, kJ/mol of formula units: -27


No. 10
Computed, not measured: crystalline YTaMo3 at its relaxed geometry at the PBEsol level of DFT.

a b c (Å): 4.6215 4.6215 4.6215
angles (deg): 90.00 90.00 90.00
Sites, in units of the cell vectors:
Y: 0.0000 0.0000 0.0000
Ta: 0.5000 0.5000 0.5000
Mo: 0.0000 0.0000 0.5000
Mo: 0.0000 0.5000 0.0000
Mo: 0.5000 0.0000 0.0000

Computed properties:
N(E_F), states/eV/cell: 7.86
Final energy, eV per formula unit: -42.5
DFT formation energy, kJ/mol of formula units: 1170


No. 11
Computed, not measured: crystalline YTa2Mo at its relaxed geometry at the PBEsol level of DFT.

a b c (Å): 3.2468 4.9298 9.6075
angles (deg): 90.00 90.00 90.00
Sites, in units of the cell vectors:
Y: 0.0000 0.0000 0.0000
Y: 0.5000 0.5000 0.5000
Ta: 0.0000 0.5000 0.2231
Ta: 0.0000 0.5000 0.7769
Ta: 0.5000 0.0000 0.2769
Ta: 0.5000 0.0000 0.7231
Mo: 0.0000 0.0000 0.5000
Mo: 0.5000 0.5000 0.0000

Computed properties:
N(E_F), states/eV/cell: 11.15
Final energy, eV per formula unit: -42.6
DFT formation energy, kJ/mol of formula units: 109


No. 12
Computed, not measured: crystalline YTa2Mo at its relaxed geometry at the PBEsol level of DFT.

a b c (Å): 2.7693 4.7529 5.8040
angles (deg): 90.00 90.00 90.00
Sites, in units of the cell vectors:
Y: 0.0000 0.0000 0.0000
Ta: 0.0000 0.0000 0.4934
Ta: 0.5000 0.5000 0.7209
Mo: 0.5000 0.5000 0.2685

Computed properties:
N(E_F), states/eV/cell: 4.58
Final energy, eV per formula unit: -41.8
DFT formation energy, kJ/mol of formula units: 187


No. 13
Computed, not measured: crystalline YTaMo4 at its relaxed geometry at the PBEsol level of DFT.

a b c (Å): 5.3219 5.3219 5.3219
angles (deg): 60.00 60.00 60.00
Sites, in units of the cell vectors:
Y: 0.0000 0.0000 0.0000
Ta: 0.2500 0.2500 0.2500
Mo: 0.1256 0.6248 0.6248
Mo: 0.6248 0.1256 0.6248
Mo: 0.6248 0.6248 0.1256
Mo: 0.6248 0.6248 0.6248

Computed properties:
N(E_F), states/eV/cell: 2.90
Final energy, eV per formula unit: -65.9
DFT formation energy, kJ/mol of formula units: 54


No. 14
Computed, not measured: crystalline TaZnMo4 at its relaxed geometry at the PBEsol level of DFT.

a b c (Å): 5.1595 5.1595 5.1595
angles (deg): 60.00 60.00 60.00
Sites, in units of the cell vectors:
Ta: 0.0000 0.0000 0.0000
Zn: 0.2500 0.2500 0.2500
Mo: 0.1274 0.6242 0.6242
Mo: 0.6242 0.1274 0.6242
Mo: 0.6242 0.6242 0.1274
Mo: 0.6242 0.6242 0.6242

Computed properties:
N(E_F), states/eV/cell: 5.06
Final energy, eV per formula unit: -59.7
DFT formation energy, kJ/mol of formula units: 146


No. 15
Computed, not measured: crystalline TaZnMo at its relaxed geometry at the PBEsol level of DFT.

a b c (Å): 6.0804 6.0804 6.0804
angles (deg): 90.00 90.00 90.00
Sites, in units of the cell vectors:
Ta: 0.0000 0.0000 0.0000
Ta: 0.0000 0.5000 0.5000
Ta: 0.5000 0.0000 0.5000
Ta: 0.5000 0.5000 0.0000
Zn: 0.0000 0.0000 0.5000
Zn: 0.0000 0.5000 0.0000
Zn: 0.5000 0.0000 0.0000
Zn: 0.5000 0.5000 0.5000
Mo: 0.2500 0.2500 0.2500
Mo: 0.2500 0.7500 0.7500
Mo: 0.7500 0.2500 0.7500
Mo: 0.7500 0.7500 0.2500

Computed properties:
N(E_F), states/eV/cell: 17.01
Final energy, eV per formula unit: -22.9
DFT formation energy, kJ/mol of formula units: 286


No. 16
Computed, not measured: crystalline TaZnMo at its relaxed geometry at the PBEsol level of DFT.

a b c (Å): 3.3107 4.2605 13.2379
angles (deg): 90.00 90.00 90.00
Sites, in units of the cell vectors:
Ta: 0.0000 0.0000 0.0000
Ta: 0.0000 0.5000 0.5000
Ta: 0.5000 0.0000 0.5000
Ta: 0.5000 0.5000 0.0000
Zn: 0.0000 0.0000 0.3321
Zn: 0.0000 0.5000 0.8321
Zn: 0.5000 0.0000 0.8321
Zn: 0.5000 0.5000 0.3321
Mo: 0.0000 0.0000 0.6722
Mo: 0.0000 0.5000 0.1722
Mo: 0.5000 0.0000 0.1722
Mo: 0.5000 0.5000 0.6722

Computed properties:
N(E_F), states/eV/cell: 8.91
Final energy, eV per formula unit: -25.7
DFT formation energy, kJ/mol of formula units: 17


No. 17
Computed, not measured: crystalline TaZnMo2 at its relaxed geometry at the PBEsol level of DFT.

a b c (Å): 3.7053 3.9627 4.1668
angles (deg): 90.00 90.00 90.00
Sites, in units of the cell vectors:
Ta: 0.0000 0.0000 0.0000
Zn: 0.5000 0.5000 0.0000
Mo: 0.0000 0.5000 0.5000
Mo: 0.5000 0.0000 0.5000

Computed properties:
N(E_F), states/eV/cell: 2.31
Final energy, eV per formula unit: -37.3
DFT formation energy, kJ/mol of formula units: 32


No. 18
Computed, not measured: crystalline Ta3ZnMo at its relaxed geometry at the PBEsol level of DFT.

a b c (Å): 4.5853 4.5853 4.5853
angles (deg): 90.00 90.00 90.00
Sites, in units of the cell vectors:
Ta: 0.0000 0.0000 0.5000
Ta: 0.0000 0.5000 0.0000
Ta: 0.5000 0.0000 0.0000
Zn: 0.0000 0.0000 0.0000
Mo: 0.5000 0.5000 0.5000

Computed properties:
N(E_F), states/eV/cell: 5.10
Final energy, eV per formula unit: -43.2
DFT formation energy, kJ/mol of formula units: 755


No. 19
Computed, not measured: crystalline ZrTa2Mo at its relaxed geometry at the PBEsol level of DFT.

a b c (Å): 6.5627 6.5627 6.5627
angles (deg): 90.00 90.00 90.00
Sites, in units of the cell vectors:
Zr: 0.0000 0.0000 0.0000
Zr: 0.0000 0.5000 0.5000
Zr: 0.5000 0.0000 0.5000
Zr: 0.5000 0.5000 0.0000
Ta: 0.2500 0.2500 0.2500
Ta: 0.2500 0.2500 0.7500
Ta: 0.2500 0.7500 0.2500
Ta: 0.2500 0.7500 0.7500
Ta: 0.7500 0.2500 0.2500
Ta: 0.7500 0.2500 0.7500
Ta: 0.7500 0.7500 0.2500
Ta: 0.7500 0.7500 0.7500
Mo: 0.0000 0.0000 0.5000
Mo: 0.0000 0.5000 0.0000
Mo: 0.5000 0.0000 0.0000
Mo: 0.5000 0.5000 0.5000

Computed properties:
N(E_F), states/eV/cell: 22.35
Final energy, eV per formula unit: -45.7
DFT formation energy, kJ/mol of formula units: 22


No. 20
Computed, not measured: crystalline ZrTaMo at its relaxed geometry at the PBEsol level of DFT.

a b c (Å): 3.1332 3.1332 6.5143
angles (deg): 90.00 90.00 120.00
Sites, in units of the cell vectors:
Zr: 0.0000 0.0000 0.0000
Ta: 0.6667 0.3333 0.3740
Mo: 0.3333 0.6667 0.6672

Computed properties:
N(E_F), states/eV/cell: 3.01
Final energy, eV per formula unit: -32.7
DFT formation energy, kJ/mol of formula units: 71